Material: CrCdAgO4
Method: DFT, PBE with a Hubbard U
State: optimized geometry

CIF file:
```
data_CrCdAgO4
_space_group_name_H-M_alt 'P 1 21/m 1'
_space_group_IT_number 11
_cell_length_a 5.846
_cell_length_b 6.951
_cell_length_c 5.946
_cell_angle_alpha 90.00
_cell_angle_beta 117.48
_cell_angle_gamma 90.00
loop_
_space_group_symop_operation_xyz
'x,y,z'
'-x,-y,-z'
'-x,y+1/2,-z'
'x,-y+1/2,z'
loop_
_atom_site_label
_atom_site_fract_x
_atom_site_fract_y
_atom_site_fract_z
Cr1 0.192 0.250 0.235
Cd1 0.118 0.750 0.448
Ag1 0.470 0.250 0.824
O1 0.089 0.750 0.040
O2 0.189 0.067 0.439
O3 0.471 0.250 0.207
```

***

Material: CrCd2Ag2O6
Method: DFT, PBE with a Hubbard U
State: optimized geometry

**N(E_F)**: 0.564 states/eV/atom

CIF file:
```
data_CrCd2Ag2O6
_space_group_name_H-M_alt 'C 1 2/m 1'
_space_group_IT_number 12
_cell_length_a 5.953
_cell_length_b 9.282
_cell_length_c 6.104
_cell_angle_alpha 90.00
_cell_angle_beta 117.70
_cell_angle_gamma 90.00
loop_
_space_group_symop_operation_xyz
'x,y,z'
'-x,-y,-z'
'-x,y,-z'
'x,-y,z'
'x+1/2,y+1/2,z'
'-x+1/2,-y+1/2,-z'
'-x+1/2,y+1/2,-z'
'x+1/2,-y+1/2,z'
loop_
_atom_site_label
_atom_site_fract_x
_atom_site_fract_y
_atom_site_fract_z
Cr1 0.000 0.000 0.000
Cd1 0.000 0.344 0.000
Ag1 0.000 0.307 0.500
O1 0.071 0.147 0.811
O2 0.122 0.500 0.763
```

***

Material: CrCdAg2O4
Method: DFT, PBE with a Hubbard U
State: optimized geometry

**N(E_F)**: 0.080 states/eV/atom

CIF file:
```
data_CrCdAg2O4
_space_group_name_H-M_alt 'I -4 2 m'
_space_group_IT_number 121
_space_group_name_Hall 'I -4 2'
_cell_length_a 4.840
_cell_length_b 4.840
_cell_length_c 10.710
_cell_angle_alpha 90.00
_cell_angle_beta 90.00
_cell_angle_gamma 90.00
loop_
_atom_site_label
_atom_site_fract_x
_atom_site_fract_y
_atom_site_fract_z
Cr1 0.000 0.000 0.000
Cd1 0.000 0.000 0.500
Ag1 0.000 0.500 0.250
O1 0.215 0.215 0.901
```

***

| no. | total moment (μB/f.u.) | E (eV per atom) |
| --- | --- | --- |
| 1 | 1.00 | -5.341 |
| 2 | 0.66 | -4.724 |
| 3 | 1.98 | -5.021 |